# 1
VASP calculation (PBE) on a relaxed Hg2OsAu crystal.

**E**: -11.8 eV/cell
**Offset from the most stable computed form**: 0.234 eV per atom
**SG**: Fm-3m, No. 225

a b c (Å): 4.7172 4.7172 4.7172
angles (deg): 60.00 60.00 60.00
With the nearest neighbours (Å) after each atom.
Fractional coordinates of all 4 atoms:
Os  0.0000  0.0000  0.0000  8 Hg 2.89
Au  0.5000  0.5000  0.5000  8 Hg 2.89
Hg  0.2500  0.2500  0.2500  4 Os 2.89, 4 Au 2.89
Hg  0.7500  0.7500  0.7500  4 Os 2.89, 4 Au 2.89

# 2
VASP calculation (PBE) on a relaxed Hg2OsAu crystal.

**E**: -11.8 eV/cell
**Offset from the most stable computed form**: 0.235 eV per atom
**SG**: I-4m2, No. 119

a b c (Å): 5.2352 5.2352 5.2352
angles (deg): 133.19 133.19 68.36
With the nearest neighbours (Å) after each atom.
Fractional coordinates of all 4 atoms:
Au  0.7500  0.2500  0.5000  8 Hg 2.94-3.00, 4 Os 3.00
Hg  0.0000  0.0000  0.0000  4 Os 2.94, 4 Hg 3.00, 4 Au 3.00
Hg  0.2500  0.7500  0.5000  4 Au 2.94, 4 Hg 3.00, 4 Os 3.00
Os  0.5000  0.5000  0.0000  8 Hg 2.94-3.00, 4 Au 3.00

# 3
VASP calculation (PBE) on a relaxed HgOs2Au crystal.

**E**: -22.5 eV/cell
**SG**: Pmmm, No. 47

a b c (Å): 2.7674 4.8899 5.0001
angles (deg): 90.00 90.00 90.00
With the nearest neighbours (Å) after each atom.
Fractional coordinates of all 4 atoms:
Au  0.5000  0.0000  0.5000  2 Au 2.77, 4 Hg 2.81, 4 Os 2.86
Hg  0.0000  0.5000  0.5000  2 Hg 2.77, 4 Au 2.81, 4 Os 2.86
Os  0.0000  0.0000  0.0000  6 Os 2.77-2.81, 4 Au 2.86
Os  0.5000  0.5000  0.0000  6 Os 2.77-2.81, 4 Hg 2.86

# 4
VASP calculation (PBE) on a relaxed HgOsAu crystal.

**E**: -12.8 eV/cell
**Offset from the most stable computed form**: 0.000 eV per atom
**SG**: P3m1, No. 156

a b c (Å): 2.9043 2.9043 7.1864
angles (deg): 90.00 90.00 120.00
With the nearest neighbours (Å) after each atom.
Fractional coordinates of all 3 atoms:
Au  0.0000  0.0000  0.9887  3 Os 2.83, 6 Au 2.90, 3 Hg 3.03
Hg  0.3333  0.6667  0.3398  6 Hg 2.90, 3 Os 2.91, 3 Au 3.03
Os  0.6667  0.3333  0.6715  3 Au 2.83, 6 Os 2.90, 3 Hg 2.91

# 5
VASP calculation (PBE) on a relaxed HgOs2Au crystal.

**E**: -22.4 eV/cell
**SG**: I-4m2, No. 119

a b c (Å): 4.8978 4.8978 4.8978
angles (deg): 130.70 130.70 72.29
With the nearest neighbours (Å) after each atom.
Fractional coordinates of all 4 atoms:
Au  0.5000  0.5000  0.0000  4 Hg 2.84, 8 Os 2.84-2.89
Hg  0.7500  0.2500  0.5000  8 Os 2.84-2.89, 4 Au 2.84
Os  0.0000  0.0000  0.0000  4 Hg 2.84, 4 Os 2.84, 4 Au 2.89
Os  0.2500  0.7500  0.5000  4 Os 2.84, 4 Au 2.84, 4 Hg 2.89

# 6
VASP calculation (PBE) on a relaxed HgOsAu2 crystal.

**E**: -15.5 eV/cell
**SG**: Pmmm, No. 47

a b c (Å): 2.8262 4.9897 5.0740
angles (deg): 90.00 90.00 90.00
With the nearest neighbours (Å) after each atom.
Fractional coordinates of all 4 atoms:
Au  0.0000  0.0000  0.0000  6 Au 2.83-2.87, 4 Hg 2.90
Au  0.5000  0.5000  0.0000  6 Au 2.83-2.87, 4 Os 2.90
Hg  0.5000  0.0000  0.5000  2 Hg 2.83, 4 Os 2.87, 4 Au 2.90
Os  0.0000  0.5000  0.5000  2 Os 2.83, 4 Hg 2.87, 4 Au 2.90

Record-wise spin magnetization values, in μB/f.u.: 0.00, 1.00, 0.45, 0.02, 0.00, 0.00